Crystalline BaLa2Fe2O7 at its relaxed geometry. Source: Alexandria, functional PBE with a Hubbard U.

Output
volume = 13.85 Å³ per atom
VASP energy = -7.3557 eV per atom

The structure in extended XYZ format:
```
12
Lattice="-2.001 2.001 10.377 2.001 -2.001 10.377 2.001 2.001 -10.377" Properties=species:S:1:pos:R:3 pbc="T T T"
Ba 0.000 0.000 0.000
La 0.000 0.000 3.784
La 0.000 0.000 16.969
Fe 0.000 0.000 8.346
Fe 0.000 0.000 12.408
O 2.001 0.000 2.228
O 0.000 0.000 6.103
O 2.001 0.000 8.149
O 0.000 0.000 10.377
O 0.000 2.001 2.228
O 0.000 0.000 14.650
O 0.000 2.001 8.149
```